# CuWO2 | Alexandria | PBE with a Hubbard U | optimized geometry
# Volume ... 143.8 Å³ per cell
# Offset from the most stable computed form ... 0.314 eV/atom
# Fermi-level density of states ... 9.88 states/eV/cell
data_CuWO2
_cell_length_a 2.9906
_cell_length_b 2.9906
_cell_length_c 18.5623
_cell_angle_alpha 90.00
_cell_angle_beta 90.00
_cell_angle_gamma 120.00
_space_group_name_H-M_alt 'R -3 m'
_space_group_IT_number 166
_space_group_name_Hall '-R 3 2"'
loop_
_atom_site_label
_atom_site_type_symbol
_atom_site_fract_x
_atom_site_fract_y
_atom_site_fract_z
Cu1 Cu 0.0000 0.0000 0.0000
W1 W 0.0000 0.0000 0.5000
O1 O 0.0000 0.0000 0.3982